(1)
Here is SrTcAg after structural relaxation from Alexandria. Energies are from GGA-PBE.

For the energy above the most stable polymorph in this dataset, the calculation gives 79 meV per atom. The value obtained for the density of states at the Fermi level is 6.248 states/eV per cell. For the energy, the calculation gives -4.6549 eV per atom. For the volume, the calculation gives 146 Å³ per cell. The formation energy from the elements comes out at 0.3114 eV/atom.

Unit cell a=5.681 b=4.374 c=5.934 alpha=90.00 beta=98.65 gamma=90.00
Space group P2_1/m (No. 11)
Unique sites:
Sr 0.240 0.250 0.088 [2 per cell]
Tc 0.098 0.750 0.490 [2 per cell]
Ag 0.422 0.250 0.618 [2 per cell]

***

(2)
Here is SiRu2Rh after structural relaxation from Alexandria. Energies are from GGA-PBE.

The value obtained for the density of states at the Fermi level is 5.621 states/eV per cell. For the energy, the calculation gives -8.0662 eV per atom. For the volume, the calculation gives 108 Å³ per cell.

Unit cell a=3.800 b=3.800 c=7.507 alpha=90.00 beta=90.00 gamma=90.00
Space group I-4m2 (No. 119)
Unique sites:
Si 0.000 0.000 0.000 [2 per cell]
Ru 0.000 0.000 0.500 [2 per cell]
Ru 0.000 0.500 0.250 [2 per cell]
Rh 0.000 0.500 0.750 [2 per cell]

***

(3)
Here is NaCu2Ge2 after structural relaxation from Alexandria. Energies are from GGA-PBE.

For the energy above the most stable polymorph in this dataset, the calculation gives 0 meV per atom. The value obtained for the density of states at the Fermi level is 3.350 states/eV per cell. For the energy, the calculation gives -3.7921 eV per atom. For the volume, the calculation gives 177 Å³ per cell. The formation energy from the elements comes out at -0.0428 eV/atom.

Unit cell a=4.159 b=4.159 c=10.251 alpha=90.00 beta=90.00 gamma=90.00
Space group I4/mmm (No. 139)
Unique sites:
Na 0.000 0.000 0.000 [2 per cell]
Cu 0.000 0.500 0.250 [4 per cell]
Ge 0.000 0.000 0.377 [4 per cell]

***

(4)
Here is LaFeAs3 after structural relaxation from Alexandria. Energies are from GGA-PBE.

For the energy above the most stable polymorph in this dataset, the calculation gives 1459 meV per atom. The value obtained for the density of states at the Fermi level is 9.787 states/eV per cell. For the energy, the calculation gives -4.3059 eV per atom. For the volume, the calculation gives 173 Å³ per cell. The formation energy from the elements comes out at 1.1619 eV/atom.

Unit cell a=5.576 b=5.576 c=5.576 alpha=90.00 beta=90.00 gamma=90.00
Space group Pm-3m (No. 221)
Unique sites:
La 0.000 0.000 0.000 [1 per cell]
Fe 0.500 0.500 0.500 [1 per cell]
As 0.000 0.000 0.500 [3 per cell]

***

Q: Which value of energy does entry 3 give?
A: -3.7921 eV per atom

***

Q: Which of these has the highest energy?
A: NaCu2Ge2

***

Q: Look up the energy of the first one.
A: -4.6549 eV per atom

***

Repeat the fourth record exactly.
Here is LaFeAs3 after structural relaxation from Alexandria. Energies are from GGA-PBE.

For the energy above the most stable polymorph in this dataset, the calculation gives 1459 meV per atom. The value obtained for the density of states at the Fermi level is 9.787 states/eV per cell. For the energy, the calculation gives -4.3059 eV per atom. For the volume, the calculation gives 173 Å³ per cell. The formation energy from the elements comes out at 1.1619 eV/atom.

Unit cell a=5.576 b=5.576 c=5.576 alpha=90.00 beta=90.00 gamma=90.00
Space group Pm-3m (No. 221)
Unique sites:
La 0.000 0.000 0.000 [1 per cell]
Fe 0.500 0.500 0.500 [1 per cell]
As 0.000 0.000 0.500 [3 per cell]